*one*
# CsNpCl6, optimized geometry, DFT PBE
data_CsNpCl6
_chemical_formula_sum 'Cs1 Np1 Cl6'
_space_group_name_H-M_alt 'P 1'
_space_group_IT_number 1
_cell_length_a 6.7199
_cell_length_b 6.7199
_cell_length_c 6.7630
_cell_angle_alpha 79.86
_cell_angle_beta 79.86
_cell_angle_gamma 99.51
loop_
_space_group_symop_operation_xyz
'x,y,z'
loop_
_atom_site_label
_atom_site_type_symbol
_atom_site_fract_x
_atom_site_fract_y
_atom_site_fract_z
Cl1 Cl 0.0738 0.7287 0.2716
Cl2 Cl 0.2723 0.2723 0.0670
Cl3 Cl 0.2713 0.9262 0.7284
Cl4 Cl 0.7277 0.7277 0.9330
Cl5 Cl 0.7287 0.0738 0.2716
Cl6 Cl 0.9262 0.2713 0.7284
Cs1 Cs 0.5000 0.5000 0.5000
Np1 Np 0.0000 0.0000 0.0000
# - V: 289.8 Å³/cell
# - Total magnetic moment: 2.00 μB per cell

***

*two*
# CsNpCl6, optimized geometry, DFT PBE
data_CsNpCl6
_chemical_formula_sum 'Cs1 Np1 Cl6'
_space_group_name_H-M_alt 'P 1'
_space_group_IT_number 1
_cell_length_a 7.2627
_cell_length_b 7.2627
_cell_length_c 7.8617
_cell_angle_alpha 62.49
_cell_angle_beta 62.49
_cell_angle_gamma 60.00
loop_
_space_group_symop_operation_xyz
'x,y,z'
loop_
_atom_site_label
_atom_site_type_symbol
_atom_site_fract_x
_atom_site_fract_y
_atom_site_fract_z
Cl1 Cl 0.0896 0.6000 0.2207
Cl2 Cl 0.9104 0.9104 0.7793
Cl3 Cl 0.6000 0.0896 0.2207
Cl4 Cl 0.4000 0.9104 0.7793
Cl5 Cl 0.0896 0.0896 0.2207
Cl6 Cl 0.9104 0.4000 0.7793
Cs1 Cs 0.5000 0.5000 0.5000
Np1 Np 0.0000 0.0000 0.0000
# - V: 303.8 Å³/cell
# - Total magnetic moment: 2.00 μB per cell

***

Most stable pick: *one*. Distance to second place: 1.1 kJ/mol of atoms.

***

*one*
# Cs3NpCl8, optimized geometry, DFT PBE
data_Cs3NpCl8
_chemical_formula_sum 'Cs6 Np2 Cl16'
_space_group_name_H-M_alt 'P 1'
_space_group_IT_number 1
_cell_length_a 9.2010
_cell_length_b 10.4620
_cell_length_c 10.4620
_cell_angle_alpha 120.00
_cell_angle_beta 90.00
_cell_angle_gamma 90.00
loop_
_space_group_symop_operation_xyz
'x,y,z'
loop_
_atom_site_label
_atom_site_type_symbol
_atom_site_fract_x
_atom_site_fract_y
_atom_site_fract_z
Cl1 Cl 0.5180 0.5305 0.4695
Cl2 Cl 0.9308 0.0000 0.0000
Cl3 Cl 0.4308 0.0000 0.0000
Cl4 Cl 0.3024 0.6667 0.3333
Cl5 Cl 0.0180 0.4695 0.9390
Cl6 Cl 0.5180 0.5305 0.0610
Cl7 Cl 0.7820 0.7791 0.5581
Cl8 Cl 0.7820 0.7791 0.2209
Cl9 Cl 0.8024 0.3333 0.6667
Cl10 Cl 0.2820 0.2209 0.4419
Cl11 Cl 0.7820 0.4419 0.2209
Cl12 Cl 0.0180 0.0610 0.5305
Cl13 Cl 0.5180 0.9390 0.4695
Cl14 Cl 0.2820 0.5581 0.7791
Cl15 Cl 0.0180 0.4695 0.5305
Cl16 Cl 0.2820 0.2209 0.7791
Cs1 Cs 0.6775 0.6933 0.8466
Cs2 Cs 0.6775 0.1533 0.3067
Cs3 Cs 0.1775 0.3067 0.1533
Cs4 Cs 0.1775 0.8466 0.6933
Cs5 Cs 0.1775 0.8466 0.1533
Cs6 Cs 0.6775 0.1533 0.8466
Np1 Np 0.6074 0.6667 0.3333
Np2 Np 0.1074 0.3333 0.6667
# - V: 872.2 Å³/cell
# - Total magnetic moment: 4.00 μB per cell

***

*two*
# Cs3NpCl8, optimized geometry, DFT PBE
data_Cs3NpCl8
_chemical_formula_sum 'Cs3 Np1 Cl8'
_space_group_name_H-M_alt 'P 1'
_space_group_IT_number 1
_cell_length_a 7.7008
_cell_length_b 7.7008
_cell_length_c 9.2822
_cell_angle_alpha 114.51
_cell_angle_beta 114.51
_cell_angle_gamma 90.00
loop_
_space_group_symop_operation_xyz
'x,y,z'
loop_
_atom_site_label
_atom_site_type_symbol
_atom_site_fract_x
_atom_site_fract_y
_atom_site_fract_z
Cl1 Cl 0.6912 0.0998 0.7910
Cl2 Cl 0.9002 0.9002 0.2090
Cl3 Cl 0.0998 0.6912 0.7910
Cl4 Cl 0.0998 0.0998 0.7910
Cl5 Cl 0.6912 0.6912 0.7910
Cl6 Cl 0.9002 0.3088 0.2090
Cl7 Cl 0.3088 0.3088 0.2090
Cl8 Cl 0.3088 0.9002 0.2090
Cs1 Cs 0.5000 0.5000 0.0000
Cs2 Cs 0.7500 0.2500 0.5000
Cs3 Cs 0.2500 0.7500 0.5000
Np1 Np 0.0000 0.0000 0.0000
# - V: 445.8 Å³/cell
# - Total magnetic moment: 1.91 μB per cell

***

Most stable pick: *one*. Distance to second place: 5.4 kJ/mol of atoms.

***

*one*
# Cs2ClO2, optimized geometry, DFT PBE
data_Cs2ClO2
_chemical_formula_sum 'Cs2 Cl1 O2'
_space_group_name_H-M_alt 'P 1'
_space_group_IT_number 1
_cell_length_a 4.1993
_cell_length_b 4.1993
_cell_length_c 9.1293
_cell_angle_alpha 76.70
_cell_angle_beta 76.70
_cell_angle_gamma 90.00
loop_
_space_group_symop_operation_xyz
'x,y,z'
loop_
_atom_site_label
_atom_site_type_symbol
_atom_site_fract_x
_atom_site_fract_y
_atom_site_fract_z
O1 O 0.7500 0.2500 0.5000
O2 O 0.2500 0.7500 0.5000
Cs1 Cs 0.6193 0.6193 0.7614
Cs2 Cs 0.3807 0.3807 0.2386
Cl1 Cl 0.0000 0.0000 0.0000
# - V: 152.2 Å³/cell
# - Total magnetic moment: 3.00 μB per cell

***

*two*
# Cs2ClO2, optimized geometry, DFT PBE
data_Cs2ClO2
_chemical_formula_sum 'Cs2 Cl1 O2'
_space_group_name_H-M_alt 'P 1'
_space_group_IT_number 1
_cell_length_a 5.9815
_cell_length_b 6.3122
_cell_length_c 5.6184
_cell_angle_alpha 56.74
_cell_angle_beta 57.84
_cell_angle_gamma 61.72
loop_
_space_group_symop_operation_xyz
'x,y,z'
loop_
_atom_site_label
_atom_site_type_symbol
_atom_site_fract_x
_atom_site_fract_y
_atom_site_fract_z
Cs1 Cs 0.2712 0.2526 0.2051
Cs2 Cs 0.7288 0.7474 0.7949
O1 O 0.5662 0.3846 0.4830
O2 O 0.4338 0.6154 0.5170
Cl1 Cl 0.0000 0.0000 0.0000
# - V: 145.1 Å³/cell
# - Total magnetic moment: 1.00 μB per cell

***

Most stable pick: *two*. Distance to second place: 66.6 kJ/mol of atoms.

***

*one*
# Cs12Cl5O3, optimized geometry, DFT PBE
data_Cs12Cl5O3
_chemical_formula_sum 'Cs12 Cl5 O3'
_space_group_name_H-M_alt 'P 1'
_space_group_IT_number 1
_cell_length_a 4.6901
_cell_length_b 14.2959
_cell_length_c 14.2959
_cell_angle_alpha 120.00
_cell_angle_beta 90.00
_cell_angle_gamma 90.00
loop_
_space_group_symop_operation_xyz
'x,y,z'
loop_
_atom_site_label
_atom_site_type_symbol
_atom_site_fract_x
_atom_site_fract_y
_atom_site_fract_z
Cs1 Cs 0.0000 0.1874 0.1874
Cs2 Cs 0.5000 0.2268 0.7894
Cs3 Cs 0.0000 0.8126 0.0000
Cs4 Cs 0.0000 0.0000 0.8126
Cs5 Cs 0.5000 0.7732 0.5626
Cs6 Cs 0.5000 0.4374 0.2106
Cs7 Cs 0.5000 0.2106 0.4374
Cs8 Cs 0.0000 0.0000 0.5391
Cs9 Cs 0.0000 0.4609 0.4609
Cs10 Cs 0.5000 0.5626 0.7732
Cs11 Cs 0.0000 0.5391 0.0000
Cs12 Cs 0.5000 0.7894 0.2268
Cl1 Cl 0.0000 0.3333 0.6667
Cl2 Cl 0.0000 0.0000 0.2918
Cl3 Cl 0.0000 0.7082 0.7082
Cl4 Cl 0.0000 0.2918 0.0000
Cl5 Cl 0.0000 0.6667 0.3333
O1 O 0.5000 0.6636 0.0000
O2 O 0.5000 0.3364 0.3364
O3 O 0.5000 0.0000 0.6636
# - V: 830.1 Å³/cell
# - Total magnetic moment: 0.21 μB per cell

***

*two*
# Cs12Cl5O3, optimized geometry, DFT PBE
data_Cs12Cl5O3
_chemical_formula_sum 'Cs48 Cl20 O12'
_space_group_name_H-M_alt 'P 1'
_space_group_IT_number 1
_cell_length_a 17.4543
_cell_length_b 17.4543
_cell_length_c 17.4543
_cell_angle_alpha 109.47
_cell_angle_beta 109.47
_cell_angle_gamma 109.47
loop_
_space_group_symop_operation_xyz
'x,y,z'
loop_
_atom_site_label
_atom_site_type_symbol
_atom_site_fract_x
_atom_site_fract_y
_atom_site_fract_z
O1 O 0.6250 0.3750 0.7500
O2 O 0.2500 0.6250 0.8750
O3 O 0.3750 0.7500 0.6250
O4 O 0.7500 0.3750 0.1250
O5 O 0.8750 0.7500 0.1250
O6 O 0.6250 0.2500 0.3750
O7 O 0.1250 0.2500 0.8750
O8 O 0.7500 0.8750 0.6250
O9 O 0.1250 0.8750 0.7500
O10 O 0.3750 0.6250 0.2500
O11 O 0.2500 0.1250 0.3750
O12 O 0.8750 0.1250 0.2500
Cs1 Cs 0.5700 0.1939 0.7050
Cs2 Cs 0.8061 0.3761 0.5111
Cs3 Cs 0.1939 0.6239 0.4889
Cs4 Cs 0.5111 0.6350 0.2050
Cs5 Cs 0.3761 0.5700 0.8650
Cs6 Cs 0.7050 0.6939 0.5700
Cs7 Cs 0.3061 0.0111 0.8761
Cs8 Cs 0.5111 0.8761 0.8061
Cs9 Cs 0.9889 0.2950 0.8650
Cs10 Cs 0.1239 0.4889 0.6939
Cs11 Cs 0.3061 0.2950 0.9300
Cs12 Cs 0.6939 0.9889 0.1239
Cs13 Cs 0.2050 0.1350 0.5111
Cs14 Cs 0.8761 0.3650 0.0700
Cs15 Cs 0.4300 0.6239 0.6350
Cs16 Cs 0.3650 0.8761 0.5700
Cs17 Cs 0.1350 0.9300 0.6239
Cs18 Cs 0.6350 0.1239 0.4300
Cs19 Cs 0.2950 0.9889 0.3650
Cs20 Cs 0.8061 0.4300 0.7950
Cs21 Cs 0.0111 0.3061 0.3761
Cs22 Cs 0.2950 0.3061 0.4300
Cs23 Cs 0.3650 0.4889 0.2950
Cs24 Cs 0.7950 0.9300 0.8061
Cs25 Cs 0.3761 0.8061 0.0111
Cs26 Cs 0.9300 0.1350 0.1239
Cs27 Cs 0.9889 0.6939 0.6239
Cs28 Cs 0.8650 0.0700 0.3761
Cs29 Cs 0.0111 0.7050 0.1350
Cs30 Cs 0.7050 0.0111 0.6350
Cs31 Cs 0.5700 0.3761 0.3650
Cs32 Cs 0.7950 0.8650 0.4889
Cs33 Cs 0.4300 0.8061 0.2950
Cs34 Cs 0.0700 0.2050 0.6939
Cs35 Cs 0.1350 0.2050 0.0111
Cs36 Cs 0.6350 0.5111 0.7050
Cs37 Cs 0.6239 0.1939 0.9889
Cs38 Cs 0.6939 0.7050 0.0700
Cs39 Cs 0.4889 0.1239 0.1939
Cs40 Cs 0.1939 0.5700 0.2050
Cs41 Cs 0.0700 0.8650 0.8761
Cs42 Cs 0.8650 0.7950 0.9889
Cs43 Cs 0.1239 0.6350 0.9300
Cs44 Cs 0.2050 0.0700 0.1939
Cs45 Cs 0.4889 0.3650 0.7950
Cs46 Cs 0.9300 0.7950 0.3061
Cs47 Cs 0.8761 0.5111 0.3061
Cs48 Cs 0.6239 0.4300 0.1350
Cl1 Cl 0.7500 0.1250 0.8750
Cl2 Cl 0.8750 0.2500 0.6250
Cl3 Cl 0.0000 0.5000 0.5000
Cl4 Cl 0.5000 0.0000 0.5000
Cl5 Cl 0.0000 0.5000 0.0000
Cl6 Cl 0.7500 0.6250 0.3750
Cl7 Cl 0.6250 0.7500 0.8750
Cl8 Cl 0.5000 0.5000 0.0000
Cl9 Cl 0.0000 0.0000 0.5000
Cl10 Cl 0.3750 0.2500 0.1250
Cl11 Cl 0.2500 0.3750 0.6250
Cl12 Cl 0.0000 0.0000 0.0000
Cl13 Cl 0.5000 0.0000 0.0000
Cl14 Cl 0.5000 0.5000 0.5000
Cl15 Cl 0.1250 0.3750 0.2500
Cl16 Cl 0.8750 0.6250 0.7500
Cl17 Cl 0.3750 0.1250 0.7500
Cl18 Cl 0.2500 0.8750 0.1250
Cl19 Cl 0.1250 0.7500 0.3750
Cl20 Cl 0.6250 0.8750 0.2500
# - V: 4093.4 Å³/cell
# - Total magnetic moment: 0.00 μB per cell

***

Most stable pick: *one*. Distance to second place: 7.1 kJ/mol of atoms.

***

*one*
# CsPClO2, optimized geometry, DFT PBE
data_CsPClO2
_chemical_formula_sum 'Cs1 P1 Cl1 O2'
_space_group_name_H-M_alt 'P 1'
_space_group_IT_number 1
_cell_length_a 4.6734
_cell_length_b 4.6734
_cell_length_c 4.4313
_cell_angle_alpha 90.00
_cell_angle_beta 90.00
_cell_angle_gamma 90.00
loop_
_space_group_symop_operation_xyz
'x,y,z'
loop_
_atom_site_label
_atom_site_type_symbol
_atom_site_fract_x
_atom_site_fract_y
_atom_site_fract_z
P1 P 0.0000 0.0000 0.5000
Cs1 Cs 0.5000 0.5000 0.5000
Cl1 Cl 0.0000 0.0000 0.0000
O1 O 0.0000 0.5000 0.0000
O2 O 0.5000 0.0000 0.0000
# - V: 96.8 Å³/cell
# - Total magnetic moment: 0.75 μB per cell

***

*two*
# CsPClO2, optimized geometry, DFT PBE
data_CsPClO2
_chemical_formula_sum 'Cs1 P1 Cl1 O2'
_space_group_name_H-M_alt 'P 1'
_space_group_IT_number 1
_cell_length_a 4.2631
_cell_length_b 4.2631
_cell_length_c 8.3440
_cell_angle_alpha 90.00
_cell_angle_beta 90.00
_cell_angle_gamma 90.00
loop_
_space_group_symop_operation_xyz
'x,y,z'
loop_
_atom_site_label
_atom_site_type_symbol
_atom_site_fract_x
_atom_site_fract_y
_atom_site_fract_z
P1 P 0.0000 0.0000 0.5000
Cs1 Cs 0.0000 0.0000 0.0000
O1 O 0.0000 0.5000 0.0000
O2 O 0.5000 0.0000 0.0000
Cl1 Cl 0.5000 0.5000 0.5000
# - V: 151.6 Å³/cell
# - Total magnetic moment: 2.15 μB per cell

***

Most stable pick: *one*. Distance to second place: 22.3 kJ/mol of atoms.

***

*one*
# CsP2ClO, optimized geometry, DFT PBE
data_CsP2ClO
_chemical_formula_sum 'Cs1 P2 Cl1 O1'
_space_group_name_H-M_alt 'P 1'
_space_group_IT_number 1
_cell_length_a 7.0774
_cell_length_b 7.0774
_cell_length_c 4.4398
_cell_angle_alpha 90.00
_cell_angle_beta 90.00
_cell_angle_gamma 90.00
loop_
_space_group_symop_operation_xyz
'x,y,z'
loop_
_atom_site_label
_atom_site_type_symbol
_atom_site_fract_x
_atom_site_fract_y
_atom_site_fract_z
P1 P 0.0000 0.5000 0.0000
P2 P 0.5000 0.0000 0.0000
O1 O 0.0000 0.0000 0.5000
Cs1 Cs 0.0000 0.0000 0.0000
Cl1 Cl 0.5000 0.5000 0.5000
# - V: 222.4 Å³/cell
# - Total magnetic moment: 5.25 μB per cell

***

*two*
# CsP2ClO, optimized geometry, DFT PBE
data_CsP2ClO
_chemical_formula_sum 'Cs1 P2 Cl1 O1'
_space_group_name_H-M_alt 'P 1'
_space_group_IT_number 1
_cell_length_a 4.2261
_cell_length_b 4.2261
_cell_length_c 8.1164
_cell_angle_alpha 90.00
_cell_angle_beta 90.00
_cell_angle_gamma 90.00
loop_
_space_group_symop_operation_xyz
'x,y,z'
loop_
_atom_site_label
_atom_site_type_symbol
_atom_site_fract_x
_atom_site_fract_y
_atom_site_fract_z
O1 O 0.0000 0.0000 0.0000
Cl1 Cl 0.0000 0.0000 0.5000
P1 P 0.0000 0.5000 0.0000
P2 P 0.5000 0.0000 0.0000
Cs1 Cs 0.5000 0.5000 0.5000
# - V: 145.0 Å³/cell
# - Total magnetic moment: 0.66 μB per cell

***

Most stable pick: *two*. Distance to second place: 134.3 kJ/mol of atoms.

***

*one*
# Cs2RbClO, optimized geometry, DFT PBE
data_Cs2RbClO
_chemical_formula_sum 'Cs2 Rb1 Cl1 O1'
_space_group_name_H-M_alt 'P 1'
_space_group_IT_number 1
_cell_length_a 5.8514
_cell_length_b 5.8514
_cell_length_c 5.5202
_cell_angle_alpha 90.00
_cell_angle_beta 90.00
_cell_angle_gamma 90.00
loop_
_space_group_symop_operation_xyz
'x,y,z'
loop_
_atom_site_label
_atom_site_type_symbol
_atom_site_fract_x
_atom_site_fract_y
_atom_site_fract_z
Rb1 Rb 0.0000 0.0000 0.5000
Cl1 Cl 0.5000 0.5000 0.5000
Cs1 Cs 0.0000 0.5000 0.0000
Cs2 Cs 0.5000 0.0000 0.0000
O1 O 0.0000 0.0000 0.0000
# - V: 189.0 Å³/cell
# - Total magnetic moment: 0.00 μB per cell

***

*two*
# Cs2RbClO, optimized geometry, DFT PBE
data_Cs2RbClO
_chemical_formula_sum 'Cs4 Rb2 Cl2 O2'
_space_group_name_H-M_alt 'P 1'
_space_group_IT_number 1
_cell_length_a 4.3877
_cell_length_b 7.8661
_cell_length_c 10.7317
_cell_angle_alpha 90.00
_cell_angle_beta 90.00
_cell_angle_gamma 106.19
loop_
_space_group_symop_operation_xyz
'x,y,z'
loop_
_atom_site_label
_atom_site_type_symbol
_atom_site_fract_x
_atom_site_fract_y
_atom_site_fract_z
O1 O 0.0000 0.0000 0.5000
O2 O 0.0000 0.0000 0.0000
Cs1 Cs 0.6250 0.2500 0.9509
Cs2 Cs 0.3750 0.7500 0.4509
Cs3 Cs 0.3750 0.7500 0.0491
Cs4 Cs 0.6250 0.2500 0.5491
Rb1 Rb 0.0673 0.1346 0.2500
Rb2 Rb 0.9327 0.8654 0.7500
Cl1 Cl 0.7307 0.4614 0.2500
Cl2 Cl 0.2693 0.5386 0.7500
# - V: 355.7 Å³/cell
# - Total magnetic moment: 0.17 μB per cell

***

Most stable pick: *two*. Distance to second place: 5.6 kJ/mol of atoms.

***

*one*
# CsSCl2O, optimized geometry, DFT PBE
data_CsSCl2O
_chemical_formula_sum 'Cs1 S1 Cl2 O1'
_space_group_name_H-M_alt 'P 1'
_space_group_IT_number 1
_cell_length_a 6.4951
_cell_length_b 6.4951
_cell_length_c 3.3981
_cell_angle_alpha 90.00
_cell_angle_beta 90.00
_cell_angle_gamma 90.00
loop_
_space_group_symop_operation_xyz
'x,y,z'
loop_
_atom_site_label
_atom_site_type_symbol
_atom_site_fract_x
_atom_site_fract_y
_atom_site_fract_z
Cl1 Cl 0.0000 0.5000 0.0000
Cl2 Cl 0.5000 0.0000 0.0000
O1 O 0.0000 0.0000 0.0000
Cs1 Cs 0.5000 0.5000 0.5000
S1 S 0.0000 0.0000 0.5000
# - V: 143.4 Å³/cell
# - Total magnetic moment: 0.79 μB per cell

***

*two*
# CsSCl2O, optimized geometry, DFT PBE
data_CsSCl2O
_chemical_formula_sum 'Cs1 S1 Cl2 O1'
_space_group_name_H-M_alt 'P 1'
_space_group_IT_number 1
_cell_length_a 6.0900
_cell_length_b 6.0900
_cell_length_c 5.7265
_cell_angle_alpha 90.00
_cell_angle_beta 90.00
_cell_angle_gamma 90.00
loop_
_space_group_symop_operation_xyz
'x,y,z'
loop_
_atom_site_label
_atom_site_type_symbol
_atom_site_fract_x
_atom_site_fract_y
_atom_site_fract_z
Cl1 Cl 0.0000 0.5000 0.0000
Cl2 Cl 0.5000 0.0000 0.0000
Cs1 Cs 0.0000 0.0000 0.0000
S1 S 0.0000 0.0000 0.5000
O1 O 0.5000 0.5000 0.5000
# - V: 212.4 Å³/cell
# - Total magnetic moment: 4.65 μB per cell

***

Most stable pick: *one*. Distance to second place: 132.6 kJ/mol of atoms.